a) # NdInGa2 (PBE, optimized geometry)
data_NdInGa2
_cell_length_a 4.5565
_cell_length_b 4.5565
_cell_length_c 15.8198
_cell_angle_alpha 90.00
_cell_angle_beta 90.00
_cell_angle_gamma 120.00
_space_group_name_H-M_alt 'R -3 m'
_space_group_IT_number 166
_space_group_name_Hall '-R 3 2"'
loop_
_atom_site_label
_atom_site_type_symbol
_atom_site_fract_x
_atom_site_fract_y
_atom_site_fract_z
Nd1 Nd 0.0000 0.0000 0.0000
In1 In 0.0000 0.0000 0.5000
Ga1 Ga 0.0000 0.0000 0.2310
# Calculated volume: 23.70 Å³ per atom



b) # NdInGa2 (PBE, optimized geometry)
data_NdInGa2
_cell_length_a 7.206
_cell_length_b 7.206
_cell_length_c 7.206
_cell_angle_alpha 90.00
_cell_angle_beta 90.00
_cell_angle_gamma 90.00
_space_group_name_H-M_alt 'F m -3 m'
_space_group_IT_number 225
_space_group_name_Hall '-F 4 2 3'
loop_
_atom_site_label
_atom_site_type_symbol
_atom_site_fract_x
_atom_site_fract_y
_atom_site_fract_z
Nd1 Nd 0.000 0.000 0.000
In1 In 0.000 0.000 0.500
Ga1 Ga 0.250 0.250 0.250
# Calculated volume: 23.38 Å³ per atom



c) # NdInGa2 (PBE, optimized geometry)
data_NdInGa2
_cell_length_a 14.412
_cell_length_b 4.408
_cell_length_c 11.618
_cell_angle_alpha 90.00
_cell_angle_beta 90.00
_cell_angle_gamma 90.00
_space_group_name_H-M_alt 'P n m a'
_space_group_IT_number 62
_space_group_name_Hall '-P 2ac 2n'
loop_
_atom_site_label
_atom_site_type_symbol
_atom_site_fract_x
_atom_site_fract_y
_atom_site_fract_z
Nd1 Nd 0.045 0.250 0.246
Nd2 Nd 0.198 0.750 0.965
In1 In 0.061 0.250 0.556
In2 In 0.210 0.750 0.670
Ga1 Ga 0.041 0.250 0.981
Ga2 Ga 0.116 0.250 0.786
Ga3 Ga 0.140 0.750 0.444
Ga4 Ga 0.195 0.750 0.242
# Calculated volume: 23.07 Å³ per atom



d) # NdInGa2 (PBE, optimized geometry)
data_NdInGa2
_cell_length_a 4.576
_cell_length_b 4.576
_cell_length_c 4.359
_cell_angle_alpha 90.00
_cell_angle_beta 90.00
_cell_angle_gamma 90.00
_space_group_name_H-M_alt 'P 4/m m m'
_space_group_IT_number 123
_space_group_name_Hall '-P 4 2'
loop_
_atom_site_label
_atom_site_type_symbol
_atom_site_fract_x
_atom_site_fract_y
_atom_site_fract_z
Nd1 Nd 0.000 0.000 0.000
In1 In 0.500 0.500 0.000
Ga1 Ga 0.000 0.500 0.500
# Calculated volume: 22.82 Å³ per atom



Which structure loses on stability? b) does.



a) # Nd4InGa3 (PBE, optimized geometry)
data_Nd4InGa3
_cell_length_a 4.253
_cell_length_b 4.555
_cell_length_c 11.448
_cell_angle_alpha 90.00
_cell_angle_beta 90.00
_cell_angle_gamma 90.00
_space_group_name_H-M_alt 'P m m 2'
_space_group_IT_number 25
_space_group_name_Hall 'P 2 -2'
loop_
_atom_site_label
_atom_site_type_symbol
_atom_site_fract_x
_atom_site_fract_y
_atom_site_fract_z
Nd1 Nd 0.000 0.000 0.000
Nd2 Nd 0.000 0.500 0.485
Nd3 Nd 0.500 0.000 0.706
Nd4 Nd 0.500 0.500 0.216
In1 In 0.000 0.500 0.780
Ga1 Ga 0.000 0.000 0.282
Ga2 Ga 0.500 0.000 0.422
Ga3 Ga 0.500 0.500 0.937
# Calculated volume: 27.72 Å³ per atom



b) # Nd4InGa3 (PBE, optimized geometry)
data_Nd4InGa3
_cell_length_a 5.2910
_cell_length_b 5.2910
_cell_length_c 25.9470
_cell_angle_alpha 90.00
_cell_angle_beta 90.00
_cell_angle_gamma 120.00
_space_group_name_H-M_alt 'R -3 m'
_space_group_IT_number 166
_space_group_name_Hall '-R 3 2"'
loop_
_atom_site_label
_atom_site_type_symbol
_atom_site_fract_x
_atom_site_fract_y
_atom_site_fract_z
Nd1 Nd 0.0000 0.0000 0.1209
Nd2 Nd 0.0000 0.0000 0.3713
In1 In 0.0000 0.0000 0.5000
Ga1 Ga 0.0000 0.0000 0.0000
Ga2 Ga 0.0000 0.0000 0.2469
# Calculated volume: 26.21 Å³ per atom



Which structure loses on stability? b) does.



a) # Nd5In2Ga (PBE, optimized geometry)
data_Nd5In2Ga
_cell_length_a 8.173
_cell_length_b 8.173
_cell_length_c 14.701
_cell_angle_alpha 90.00
_cell_angle_beta 90.00
_cell_angle_gamma 90.00
_space_group_name_H-M_alt 'I 4/m c m'
_space_group_IT_number 140
_space_group_name_Hall '-I 4 2c'
loop_
_atom_site_label
_atom_site_type_symbol
_atom_site_fract_x
_atom_site_fract_y
_atom_site_fract_z
Nd1 Nd 0.000 0.000 0.000
Nd2 Nd 0.172 0.328 0.155
In1 In 0.125 0.375 0.500
Ga1 Ga 0.000 0.000 0.250
# Calculated volume: 30.69 Å³ per atom



b) # Nd5In2Ga (PBE, optimized geometry)
data_Nd5In2Ga
_cell_length_a 6.864
_cell_length_b 13.313
_cell_length_c 5.258
_cell_angle_alpha 90.00
_cell_angle_beta 90.00
_cell_angle_gamma 90.00
_space_group_name_H-M_alt 'P b a m'
_space_group_IT_number 55
_space_group_name_Hall '-P 2 2ab'
loop_
_atom_site_label
_atom_site_type_symbol
_atom_site_fract_x
_atom_site_fract_y
_atom_site_fract_z
Nd1 Nd 0.000 0.000 0.000
Nd2 Nd 0.127 0.280 0.000
Nd3 Nd 0.163 0.596 0.500
In1 In 0.127 0.850 0.500
Ga1 Ga 0.000 0.500 0.000
# Calculated volume: 30.03 Å³ per atom



Which structure loses on stability? a) does.



a) # NdSmInGa (PBE, optimized geometry)
data_NdSmInGa
_cell_length_a 7.538
_cell_length_b 7.538
_cell_length_c 7.538
_cell_angle_alpha 90.00
_cell_angle_beta 90.00
_cell_angle_gamma 90.00
_space_group_name_H-M_alt 'F -4 3 m'
_space_group_IT_number 216
_space_group_name_Hall 'F -4 2 3'
loop_
_atom_site_label
_atom_site_type_symbol
_atom_site_fract_x
_atom_site_fract_y
_atom_site_fract_z
Nd1 Nd 0.000 0.000 0.000
Sm1 Sm 0.000 0.000 0.500
In1 In 0.250 0.250 0.250
Ga1 Ga 0.250 0.250 0.750
# Calculated volume: 26.77 Å³ per atom



b) # NdSmInGa (PBE, optimized geometry)
data_NdSmInGa
_cell_length_a 3.738
_cell_length_b 3.738
_cell_length_c 7.652
_cell_angle_alpha 90.00
_cell_angle_beta 90.00
_cell_angle_gamma 90.00
_space_group_name_H-M_alt 'P 4 m m'
_space_group_IT_number 99
_space_group_name_Hall 'P 4 -2'
loop_
_atom_site_label
_atom_site_type_symbol
_atom_site_fract_x
_atom_site_fract_y
_atom_site_fract_z
Nd1 Nd 0.000 0.000 0.000
Sm1 Sm 0.000 0.000 0.473
In1 In 0.500 0.500 0.732
Ga1 Ga 0.500 0.500 0.241
# Calculated volume: 26.73 Å³ per atom



Which structure loses on stability? a) does.



a) # NdTmInGa (PBE, optimized geometry)
data_NdTmInGa
_cell_length_a 7.425
_cell_length_b 7.425
_cell_length_c 7.425
_cell_angle_alpha 90.00
_cell_angle_beta 90.00
_cell_angle_gamma 90.00
_space_group_name_H-M_alt 'F -4 3 m'
_space_group_IT_number 216
_space_group_name_Hall 'F -4 2 3'
loop_
_atom_site_label
_atom_site_type_symbol
_atom_site_fract_x
_atom_site_fract_y
_atom_site_fract_z
Nd1 Nd 0.000 0.000 0.000
Tm1 Tm 0.000 0.000 0.500
In1 In 0.250 0.250 0.750
Ga1 Ga 0.250 0.250 0.250
# Calculated volume: 25.58 Å³ per atom



b) # NdTmInGa (PBE, optimized geometry)
data_NdTmInGa
_cell_length_a 3.672
_cell_length_b 3.672
_cell_length_c 7.547
_cell_angle_alpha 90.00
_cell_angle_beta 90.00
_cell_angle_gamma 90.00
_space_group_name_H-M_alt 'P 4 m m'
_space_group_IT_number 99
_space_group_name_Hall 'P 4 -2'
loop_
_atom_site_label
_atom_site_type_symbol
_atom_site_fract_x
_atom_site_fract_y
_atom_site_fract_z
Nd1 Nd 0.000 0.000 0.000
Tm1 Tm 0.000 0.000 0.472
In1 In 0.500 0.500 0.720
Ga1 Ga 0.500 0.500 0.254
# Calculated volume: 25.45 Å³ per atom



Which structure loses on stability? a) does.



a) # NdYInGa (PBE, optimized geometry)
data_NdYInGa
_cell_length_a 3.701
_cell_length_b 3.701
_cell_length_c 7.588
_cell_angle_alpha 90.00
_cell_angle_beta 90.00
_cell_angle_gamma 90.00
_space_group_name_H-M_alt 'P 4 m m'
_space_group_IT_number 99
_space_group_name_Hall 'P 4 -2'
loop_
_atom_site_label
_atom_site_type_symbol
_atom_site_fract_x
_atom_site_fract_y
_atom_site_fract_z
Nd1 Nd 0.000 0.000 0.000
Y1 Y 0.000 0.000 0.473
In1 In 0.500 0.500 0.725
Ga1 Ga 0.500 0.500 0.249
# Calculated volume: 25.99 Å³ per atom



b) # NdYInGa (PBE, optimized geometry)
data_NdYInGa
_cell_length_a 7.476
_cell_length_b 7.476
_cell_length_c 7.476
_cell_angle_alpha 90.00
_cell_angle_beta 90.00
_cell_angle_gamma 90.00
_space_group_name_H-M_alt 'F -4 3 m'
_space_group_IT_number 216
_space_group_name_Hall 'F -4 2 3'
loop_
_atom_site_label
_atom_site_type_symbol
_atom_site_fract_x
_atom_site_fract_y
_atom_site_fract_z
Nd1 Nd 0.000 0.000 0.000
Y1 Y 0.000 0.000 0.500
In1 In 0.250 0.250 0.250
Ga1 Ga 0.250 0.250 0.750
# Calculated volume: 26.12 Å³ per atom



Which structure loses on stability? b) does.



a) # InGa3Ni (PBE, optimized geometry)
data_InGa3Ni
_cell_length_a 5.188
_cell_length_b 5.188
_cell_length_c 5.188
_cell_angle_alpha 90.00
_cell_angle_beta 90.00
_cell_angle_gamma 90.00
_space_group_name_H-M_alt 'P m -3 m'
_space_group_IT_number 221
_space_group_name_Hall '-P 4 2 3'
loop_
_atom_site_label
_atom_site_type_symbol
_atom_site_fract_x
_atom_site_fract_y
_atom_site_fract_z
In1 In 0.000 0.000 0.000
Ga1 Ga 0.000 0.000 0.500
Ni1 Ni 0.500 0.500 0.500
# Calculated volume: 27.92 Å³ per atom



b) # InGa3Ni (PBE, optimized geometry)
data_InGa3Ni
_cell_length_a 4.664
_cell_length_b 4.664
_cell_length_c 4.664
_cell_angle_alpha 90.00
_cell_angle_beta 90.00
_cell_angle_gamma 90.00
_space_group_name_H-M_alt 'P m -3 m'
_space_group_IT_number 221
_space_group_name_Hall '-P 4 2 3'
loop_
_atom_site_label
_atom_site_type_symbol
_atom_site_fract_x
_atom_site_fract_y
_atom_site_fract_z
In1 In 0.000 0.000 0.000
Ga1 Ga 0.000 0.500 0.500
Ni1 Ni 0.500 0.500 0.500
# Calculated volume: 20.29 Å³ per atom



Which structure loses on stability? a) does.



a) # InGa2NiPb (PBE, optimized geometry)
data_InGa2NiPb
_cell_length_a 4.640
_cell_length_b 4.640
_cell_length_c 5.217
_cell_angle_alpha 90.00
_cell_angle_beta 90.00
_cell_angle_gamma 90.00
_space_group_name_H-M_alt 'P 4/m m m'
_space_group_IT_number 123
_space_group_name_Hall '-P 4 2'
loop_
_atom_site_label
_atom_site_type_symbol
_atom_site_fract_x
_atom_site_fract_y
_atom_site_fract_z
In1 In 0.000 0.000 0.000
Ga1 Ga 0.000 0.500 0.500
Ni1 Ni 0.000 0.000 0.500
Pb1 Pb 0.500 0.500 0.000
# Calculated volume: 22.46 Å³ per atom



b) # InGa2NiPb (PBE, optimized geometry)
data_InGa2NiPb
_cell_length_a 4.635
_cell_length_b 4.635
_cell_length_c 5.437
_cell_angle_alpha 90.00
_cell_angle_beta 90.00
_cell_angle_gamma 90.00
_space_group_name_H-M_alt 'P 4/m m m'
_space_group_IT_number 123
_space_group_name_Hall '-P 4 2'
loop_
_atom_site_label
_atom_site_type_symbol
_atom_site_fract_x
_atom_site_fract_y
_atom_site_fract_z
In1 In 0.000 0.000 0.000
Ga1 Ga 0.000 0.500 0.500
Ni1 Ni 0.500 0.500 0.500
Pb1 Pb 0.500 0.500 0.000
# Calculated volume: 23.36 Å³ per atom



Which structure loses on stability? b) does.



a) # In2GaNiTe (PBE, optimized geometry)
data_In2GaNiTe
_cell_length_a 4.937
_cell_length_b 4.937
_cell_length_c 5.364
_cell_angle_alpha 90.00
_cell_angle_beta 90.00
_cell_angle_gamma 90.00
_space_group_name_H-M_alt 'P 4/m m m'
_space_group_IT_number 123
_space_group_name_Hall '-P 4 2'
loop_
_atom_site_label
_atom_site_type_symbol
_atom_site_fract_x
_atom_site_fract_y
_atom_site_fract_z
In1 In 0.000 0.500 0.000
Ga1 Ga 0.000 0.000 0.500
Ni1 Ni 0.500 0.500 0.000
Te1 Te 0.500 0.500 0.500
# Calculated volume: 26.15 Å³ per atom



b) # In2GaNiTe (PBE, optimized geometry)
data_In2GaNiTe
_cell_length_a 5.135
_cell_length_b 5.135
_cell_length_c 4.610
_cell_angle_alpha 90.00
_cell_angle_beta 90.00
_cell_angle_gamma 90.00
_space_group_name_H-M_alt 'P 4/m m m'
_space_group_IT_number 123
_space_group_name_Hall '-P 4 2'
loop_
_atom_site_label
_atom_site_type_symbol
_atom_site_fract_x
_atom_site_fract_y
_atom_site_fract_z
In1 In 0.000 0.500 0.000
Ga1 Ga 0.000 0.000 0.500
Ni1 Ni 0.000 0.000 0.000
Te1 Te 0.500 0.500 0.500
# Calculated volume: 24.31 Å³ per atom



Which structure loses on stability? a) does.



a) # InGa3O (PBE, optimized geometry)
data_InGa3O
_cell_length_a 4.548
_cell_length_b 4.548
_cell_length_c 4.548
_cell_angle_alpha 90.00
_cell_angle_beta 90.00
_cell_angle_gamma 90.00
_space_group_name_H-M_alt 'P m -3 m'
_space_group_IT_number 221
_space_group_name_Hall '-P 4 2 3'
loop_
_atom_site_label
_atom_site_type_symbol
_atom_site_fract_x
_atom_site_fract_y
_atom_site_fract_z
In1 In 0.000 0.000 0.000
Ga1 Ga 0.000 0.500 0.500
O1 O 0.500 0.500 0.500
# Calculated volume: 18.81 Å³ per atom



b) # InGa3O (PBE, optimized geometry)
data_InGa3O
_cell_length_a 5.222
_cell_length_b 5.222
_cell_length_c 5.222
_cell_angle_alpha 90.00
_cell_angle_beta 90.00
_cell_angle_gamma 90.00
_space_group_name_H-M_alt 'P m -3 m'
_space_group_IT_number 221
_space_group_name_Hall '-P 4 2 3'
loop_
_atom_site_label
_atom_site_type_symbol
_atom_site_fract_x
_atom_site_fract_y
_atom_site_fract_z
In1 In 0.000 0.000 0.000
Ga1 Ga 0.000 0.000 0.500
O1 O 0.500 0.500 0.500
# Calculated volume: 28.47 Å³ per atom



Which structure loses on stability? b) does.



a) # InGaOs3 (PBE, optimized geometry)
data_InGaOs3
_cell_length_a 4.547
_cell_length_b 4.547
_cell_length_c 4.547
_cell_angle_alpha 90.00
_cell_angle_beta 90.00
_cell_angle_gamma 90.00
_space_group_name_H-M_alt 'P m -3 m'
_space_group_IT_number 221
_space_group_name_Hall '-P 4 2 3'
loop_
_atom_site_label
_atom_site_type_symbol
_atom_site_fract_x
_atom_site_fract_y
_atom_site_fract_z
In1 In 0.000 0.000 0.000
Ga1 Ga 0.500 0.500 0.500
Os1 Os 0.000 0.500 0.500
# Calculated volume: 18.81 Å³ per atom



b) # InGaOs3 (PBE, optimized geometry)
data_InGaOs3
_cell_length_a 4.846
_cell_length_b 4.846
_cell_length_c 4.846
_cell_angle_alpha 90.00
_cell_angle_beta 90.00
_cell_angle_gamma 90.00
_space_group_name_H-M_alt 'P m -3 m'
_space_group_IT_number 221
_space_group_name_Hall '-P 4 2 3'
loop_
_atom_site_label
_atom_site_type_symbol
_atom_site_fract_x
_atom_site_fract_y
_atom_site_fract_z
In1 In 0.000 0.000 0.000
Ga1 Ga 0.500 0.500 0.500
Os1 Os 0.000 0.000 0.500
# Calculated volume: 22.76 Å³ per atom



Which structure loses on stability? b) does.



a) # InGa2Os2 (PBE, optimized geometry)
data_InGa2Os2
_cell_length_a 7.454
_cell_length_b 7.454
_cell_length_c 2.881
_cell_angle_alpha 90.00
_cell_angle_beta 90.00
_cell_angle_gamma 90.00
_space_group_name_H-M_alt 'P 4/m b m'
_space_group_IT_number 127
_space_group_name_Hall '-P 4 2ab'
loop_
_atom_site_label
_atom_site_type_symbol
_atom_site_fract_x
_atom_site_fract_y
_atom_site_fract_z
In1 In 0.000 0.000 0.000
Ga1 Ga 0.130 0.370 0.000
Os1 Os 0.166 0.666 0.500
# Calculated volume: 16.01 Å³ per atom



b) # InGa2Os2 (PBE, optimized geometry)
data_InGa2Os2
_cell_length_a 7.187
_cell_length_b 7.187
_cell_length_c 3.153
_cell_angle_alpha 90.00
_cell_angle_beta 90.00
_cell_angle_gamma 90.00
_space_group_name_H-M_alt 'P 4/m b m'
_space_group_IT_number 127
_space_group_name_Hall '-P 4 2ab'
loop_
_atom_site_label
_atom_site_type_symbol
_atom_site_fract_x
_atom_site_fract_y
_atom_site_fract_z
In1 In 0.000 0.000 0.000
Ga1 Ga 0.149 0.351 0.500
Os1 Os 0.146 0.646 0.000
# Calculated volume: 16.29 Å³ per atom



Which structure loses on stability? a) does.